(1)
Density functional theory data (PBE-GGA) for an optimized crystal structure of Sm2CoGe.

a = 5.853 Å, b = 4.127 Å, c = 8.095 Å
α = 90.00°, β = 110.84°, γ = 90.00°
Fractional coordinates of all 8 atoms:
Sm1 0.186 0.250 0.410
Sm2 0.278 0.750 0.056
Sm3 0.722 0.250 0.944
Sm4 0.814 0.750 0.590
Co1 0.165 0.250 0.781
Co2 0.835 0.750 0.219
Ge1 0.363 0.750 0.707
Ge2 0.637 0.250 0.293

Summary:
As for the density of states at the Fermi level: 9.0 states/eV/cell. The total magnetic moment is 0.0 μB/cell. Its space-group type is P2_1/m, No. 11. As for the energy of formation from the pure elements: -45.6 kJ per mole of atoms.

=====

(2)
Density functional theory data (PBE-GGA) for an optimized crystal structure of Sm3CoGe.

a = 8.321 Å, b = 8.321 Å, c = 9.533 Å
α = 118.76°, β = 118.76°, γ = 26.36°
Fractional coordinates of all 10 atoms:
Sm1 0.070 0.070 0.418
Sm2 0.348 0.348 0.182
Sm3 0.381 0.381 0.840
Sm4 0.619 0.619 0.160
Sm5 0.652 0.652 0.818
Sm6 0.930 0.930 0.582
Co1 0.048 0.048 0.901
Co2 0.952 0.952 0.099
Ge1 0.264 0.264 0.421
Ge2 0.736 0.736 0.579

Summary:
As for the density of states at the Fermi level: 7.8 states/eV/cell. The calculation puts the energy above the most stable polymorph in this dataset at 74 meV per atom. The total magnetic moment is 0.0 μB/cell. Its space-group type is C2/m, No. 12. As for the energy of formation from the pure elements: -28.2 kJ per mole of atoms.

=====

Among the records above, which one has the lowest energy of formation from the pure elements? Sm2CoGe